Entry 1:
Here is an optimized crystal structure of SrInHgAs from Alexandria via LeMat-Bulk. Energies are from PBE.

a b c (Å): 5.403 5.403 5.403
angles (deg): 60.00 60.00 60.00
Element x y z (fractional)
As  0.750  0.750  0.750
Hg  0.250  0.250  0.250
Sr  0.500  0.500  0.500
In  0.000  0.000  0.000



Entry 2:
Here is an optimized crystal structure of Hg2AsIr from Alexandria via LeMat-Bulk. Energies are from PBE.

a b c (Å): 3.455 5.998 6.001
angles (deg): 52.95 90.00 90.00
Element x y z (fractional)
Hg  0.000  0.998  0.998
As  0.500  0.670  0.670
Ir  0.000  0.523  0.523
Hg  0.500  0.310  0.309



Entry 3:
Here is an optimized crystal structure of HgAsIr from Alexandria via LeMat-Bulk. Energies are from PBE.

a b c (Å): 3.367 3.367 6.309
angles (deg): 90.00 90.00 120.00
Element x y z (fractional)
Ir  0.333  0.667  0.208
As  0.667  0.333  0.984
Hg  0.667  0.333  0.552

Summary:
- Offset from the most stable computed form: 35.2 meV/atom



Entry 4:
Here is an optimized crystal structure of Hg2AsIr from Alexandria via LeMat-Bulk. Energies are from PBE.

a b c (Å): 5.320 5.320 5.320
angles (deg): 134.37 134.37 66.51
Element x y z (fractional)
Hg  0.500  0.500  0.000
As  0.750  0.250  0.500
Hg  0.000  0.000  0.000
Ir  0.250  0.750  0.500



Calculated D(E_F) in order - 0.346 0.394 0.142 0.779 states/eV/atom
Calculated E_form in order - -427 133 21 549 meV/atom
Calculated E in order - -2.770 -3.395 -4.583 -2.980 eV/atom